Record 1
First-principles (PBE) data for an optimized crystal structure of MgVPCl2, as listed in Alexandria via LeMat-Bulk.

Cell lengths 4.7014, 4.7014, 4.9158 Å; angles 90.00, 90.00, 90.00 degrees
Fractional coordinates of all 5 atoms:
Mg 0.0000 0.0000 0.0000
V 0.5000 0.5000 0.5000
P 0.5000 0.5000 0.0000
Cl 0.0000 0.5000 0.5000
Cl 0.5000 0.0000 0.5000

Summary:
ΔE_f (raw): -387 meV per atom
Total moment: 1.95 μB/cell
Theoretical density: 2707 kg/m3
E: -4.3501 eV per atom


Record 2
First-principles (PBE) data for an optimized crystal structure of MgVPCl2, as listed in Alexandria via LeMat-Bulk.

Cell lengths 4.5214, 4.5214, 5.8371 Å; angles 90.00, 90.00, 90.00 degrees
Fractional coordinates of all 5 atoms:
Mg 0.0000 0.0000 0.0000
V 0.5000 0.5000 0.5000
P 0.0000 0.0000 0.5000
Cl 0.0000 0.5000 0.0000
Cl 0.5000 0.0000 0.0000

Summary:
ΔE_f (raw): -8 meV per atom
Total moment: 2.00 μB/cell
Theoretical density: 2465 kg/m3
E: -3.9718 eV per atom


Record 3
First-principles (PBE) data for an optimized crystal structure of MgVP2Cl, as listed in Alexandria via LeMat-Bulk.

Cell lengths 4.7771, 4.7771, 4.6865 Å; angles 90.00, 90.00, 90.00 degrees
Fractional coordinates of all 5 atoms:
Mg 0.0000 0.0000 0.0000
V 0.5000 0.5000 0.5000
P 0.0000 0.5000 0.0000
P 0.5000 0.0000 0.0000
Cl 0.0000 0.0000 0.5000

Summary:
ΔE_f (raw): 841 meV per atom
Total moment: 0.20 μB/cell
Theoretical density: 2681 kg/m3
E: -3.8347 eV per atom


Record 4
First-principles (PBE) data for an optimized crystal structure of MgZnP2Cl, as listed in Alexandria via LeMat-Bulk.

Cell lengths 4.5802, 4.5802, 5.2521 Å; angles 90.00, 90.00, 90.00 degrees
Fractional coordinates of all 5 atoms:
Mg 0.0000 0.0000 0.0000
Zn 0.5000 0.5000 0.5000
P 0.0000 0.5000 0.5000
P 0.5000 0.0000 0.5000
Cl 0.5000 0.5000 0.0000

Summary:
ΔE_f (raw): 322 meV per atom
Total moment: 0.65 μB/cell
Theoretical density: 2820 kg/m3
E: -2.7852 eV per atom


Record 5
First-principles (PBE) data for an optimized crystal structure of MgZnP2Cl, as listed in Alexandria via LeMat-Bulk.

Cell lengths 4.9581, 4.9581, 4.7842 Å; angles 90.00, 90.00, 90.00 degrees
Fractional coordinates of all 5 atoms:
Mg 0.0000 0.0000 0.0000
Zn 0.5000 0.5000 0.5000
P 0.0000 0.5000 0.0000
P 0.5000 0.0000 0.0000
Cl 0.0000 0.0000 0.5000

Summary:
ΔE_f (raw): 492 meV per atom
Total moment: 1.11 μB/cell
Theoretical density: 2642 kg/m3
E: -2.6147 eV per atom


Record 6
First-principles (PBE) data for an optimized crystal structure of MgZrPCl2, as listed in Alexandria via LeMat-Bulk.

Cell lengths 4.9588, 4.9588, 5.2478 Å; angles 90.00, 90.00, 90.00 degrees
Fractional coordinates of all 5 atoms:
Mg 0.0000 0.0000 0.0000
Zr 0.5000 0.5000 0.5000
P 0.5000 0.5000 0.0000
Cl 0.0000 0.5000 0.5000
Cl 0.5000 0.0000 0.5000

Summary:
ΔE_f (raw): -690 meV per atom
Total moment: 0.00 μB/cell
Theoretical density: 2798 kg/m3
E: -4.5391 eV per atom


Number 1: energy relative to the lowest polymorph listed for this composition 0.000 eV/atom. Number 2: energy relative to the lowest polymorph listed for this composition 0.378 eV/atom. Number 3: energy relative to the lowest polymorph listed for this composition 0.934 eV/atom. Number 4: energy relative to the lowest polymorph listed for this composition 0.000 eV/atom. Number 5: energy relative to the lowest polymorph listed for this composition 0.170 eV/atom. Number 6: energy relative to the lowest polymorph listed for this composition 0.000 eV/atom.